A geometry-optimized LaMg2Zn structure, computed with PBE.

Cell: 5.8669 5.8669 3.3374 Å, 90.00 90.00 112.93°
Fractional coordinates of all 4 atoms:
Zn 0.5000 0.0000 0.5000
Mg 0.5000 0.5000 0.0000
Mg 0.0000 0.0000 0.0000
La 0.0000 0.5000 0.5000

Results
E_form: 85.6 meV/atom
Total DFT energy (no corrections): -9.05 eV for the cell shown
Calculated density: 4.0 g cm⁻³
Magnetic moment: 0.000 Bohr magnetons per cell